Here is a relaxed structure of PuTiFe4 from Alexandria. Energies are from PBE.

Summary:
E: -55.80 eV for the cell shown
Calculated formation energy: 0.047 eV/atom
Mass density: 10.32 g cm⁻³

Cell lengths 4.8938, 4.8938, 4.8938 Å; angles 60.00, 60.00, 60.00 degrees
Last column: nearest neighbours and their distance in Å.
Element x y z (fractional)
Pu (0.0000, 0.0000, 0.0000)  12 Fe 2.87, 4 Ti 3.00
Ti (0.7500, 0.7500, 0.7500)  12 Fe 2.87, 4 Pu 3.00
Fe (0.3754, 0.3754, 0.3754)  6 Fe 2.44-2.46
Fe (0.3754, 0.3754, 0.8737)  6 Fe 2.44-2.46
Fe (0.3754, 0.8737, 0.3754)  6 Fe 2.44-2.46
Fe (0.8737, 0.3754, 0.3754)  6 Fe 2.44-2.46



Here is a relaxed structure of Tb8Dy3Er4 from Alexandria. Energies are from PBE.

Summary:
E: -63.05 eV for the cell shown
Calculated formation energy: 0.403 eV/atom
Energy above the lowest structure with this stoichiometry: 249 meV per atom
Mass density: 8.24 g cm⁻³

Cell lengths 9.1851, 9.1851, 6.7045 Å; angles 111.19, 111.19, 87.33 degrees
Last column: nearest neighbours and their distance in Å.
Element x y z (fractional)
Tb (0.1438, 0.8562, 0.0000)  7 Tb 3.52-3.74, 2 Er 3.59, 4 Dy 3.60-3.82
Tb (0.2289, 0.2289, 0.4435)  3 Dy 3.19-3.25, 4 Tb 3.20-3.52, 1 Er 3.43
Tb (0.2394, 0.2394, 0.9765)  4 Er 3.17-3.49, 1 Dy 3.19, 2 Tb 3.20-3.51
Tb (0.2491, 0.7509, 0.5000)  3 Dy 3.16-3.32, 3 Er 3.18-3.34
Tb (0.7509, 0.2491, 0.5000)  3 Dy 3.16-3.32, 3 Er 3.18-3.34
Tb (0.7606, 0.7606, 0.0235)  4 Er 3.17-3.49, 1 Dy 3.19, 2 Tb 3.20-3.51
Tb (0.7711, 0.7711, 0.5565)  3 Dy 3.19-3.25, 4 Tb 3.20-3.52, 1 Er 3.43
Tb (0.8562, 0.1438, 0.0000)  7 Tb 3.52-3.74, 2 Er 3.59, 4 Dy 3.60-3.82
Dy (0.0000, 0.0000, 0.5000)  6 Tb 3.16-3.25
Dy (0.0000, 0.5000, 0.5000)  4 Tb 3.19-3.32, 2 Er 3.35
Dy (0.5000, 0.0000, 0.5000)  4 Tb 3.19-3.32, 2 Er 3.35
Er (0.0000, 0.5000, 0.0000)  4 Tb 3.17-3.34, 2 Dy 3.35
Er (0.5000, 0.0000, 0.0000)  4 Tb 3.17-3.34, 2 Dy 3.35
Er (0.5000, 0.5000, 0.0000)  2 Er 3.35, 4 Tb 3.39-3.67
Er (0.5000, 0.5000, 0.5000)  6 Tb 3.18-3.49, 2 Er 3.35



Here is a relaxed structure of Li6In2Rh from Alexandria. Energies are from PBE.

Summary:
E: -26.56 eV for the cell shown
Calculated formation energy: -0.250 eV/atom
Energy above the lowest structure with this stoichiometry: 0 meV per atom
Mass density: 4.00 g cm⁻³

Cell lengths 7.1707, 7.1707, 5.5365 Å; angles 111.70, 111.70, 36.35 degrees
Last column: nearest neighbours and their distance in Å.
Element x y z (fractional)
Li (0.0973, 0.0973, 0.0257)  4 Li 2.55-2.84, 1 Rh 2.69, 2 In 2.84
Li (0.2028, 0.2028, 0.5809)  1 Rh 2.62, 5 Li 2.84-2.89
Li (0.3409, 0.3409, 0.1534)  5 Li 2.71-2.99, 2 In 2.78-2.83
Li (0.6591, 0.6591, 0.8466)  5 Li 2.71-2.99, 2 In 2.78-2.83
Li (0.7972, 0.7972, 0.4191)  1 Rh 2.62, 5 Li 2.84-2.89
Li (0.9027, 0.9027, 0.9743)  4 Li 2.55-2.84, 1 Rh 2.69, 2 In 2.84
In (0.4354, 0.4354, 0.6991)  2 Rh 2.78, 7 Li 2.78-2.98, 1 In 3.10
In (0.5646, 0.5646, 0.3009)  2 Rh 2.78, 7 Li 2.78-2.98, 1 In 3.10
Rh (0.0000, 0.0000, 0.5000)  4 Li 2.62-2.69, 4 In 2.78



Here is a relaxed structure of AlInCuTc2 from Alexandria. Energies are from PBE.

Summary:
E: -22.55 eV for the cell shown
Calculated formation energy: 1.753 eV/atom
Mass density: 5.92 g cm⁻³

Cell lengths 4.9571, 4.9571, 4.5799 Å; angles 90.00, 90.00, 90.00 degrees
Last column: nearest neighbours and their distance in Å.
Element x y z (fractional)
Al (0.0000, 0.0000, 0.0000)  8 Tc 3.37, 4 Cu 3.51
In (0.5000, 0.5000, 0.5000)  2 Cu 2.29, 4 Tc 2.48
Cu (0.5000, 0.5000, 0.0000)  2 In 2.29
Tc (0.0000, 0.5000, 0.5000)  2 In 2.48
Tc (0.5000, 0.0000, 0.5000)  2 In 2.48